A plane-wave DFT calculation with PBE-GGA was carried out for a relaxed Mg4In5 crystal.

Values from the calculation:
ΔH_f (0 K) ... -0.040 eV per atom
VASP energy ... -2.270 eV per atom
Energy above the most stable polymorph in this dataset ... 0 meV/atom
DOS(E_F) ... 3.1 states/eV/f.u.
Magnetization ... 0.00 Bohr magnetons per cell

```
9
Lattice="-4.7539 4.7539 2.4240 4.7539 -4.7539 2.4240 4.7539 4.7539 -2.4240" Properties=species:S:1:pos:R:3 pbc="T T T"
Mg 3.1704 0.0000 0.0000
Mg 6.3375 0.0000 0.0000
Mg 0.0000 3.1704 0.0000
Mg 0.0000 6.3375 0.0000
In 0.0000 0.0000 0.0000
In 3.1431 3.1431 0.0000
In 1.6108 -1.6108 2.4240
In -1.6108 1.6108 2.4240
In 1.6108 1.6108 2.4240
```

---

A plane-wave DFT calculation with PBE-GGA was carried out for a relaxed Pr4ScCd crystal.

Values from the calculation:
ΔH_f (0 K) ... -0.072 eV per atom
VASP energy ... -4.466 eV per atom
Energy above the most stable polymorph in this dataset ... 0 meV/atom
DOS(E_F) ... 7.8 states/eV/f.u.
Magnetization ... 0.00 Bohr magnetons per cell

```
6
Lattice="3.6975 0.0000 0.0000 0.0000 3.6975 0.0000 0.0000 0.0000 13.9763" Properties=species:S:1:pos:R:3 pbc="T T T"
Pr 0.0000 0.0000 2.1299
Pr 0.0000 0.0000 11.8464
Pr 1.8488 1.8488 4.7135
Pr 1.8488 1.8488 9.2628
Sc 0.0000 0.0000 6.9882
Cd 1.8488 1.8488 0.0000
```

---

A plane-wave DFT calculation with PBE-GGA was carried out for a relaxed TbNdLuHg crystal.

Values from the calculation:
ΔH_f (0 K) ... -0.077 eV per atom
VASP energy ... -3.633 eV per atom
DOS(E_F) ... 5.3 states/eV/f.u.
Magnetization ... 0.00 Bohr magnetons per cell

```
4
Lattice="0.0000 3.8515 3.8515 3.8515 0.0000 3.8515 3.8515 3.8515 0.0000" Properties=species:S:1:pos:R:3 pbc="T T T"
Tb 0.0000 0.0000 0.0000
Nd 3.8515 3.8515 3.8515
Lu 5.7773 5.7773 5.7773
Hg 1.9258 1.9258 1.9258
```

---

A plane-wave DFT calculation with PBE-GGA was carried out for a relaxed HgSeBr crystal.

Values from the calculation:
VASP energy ... -2.039 eV per atom
Energy above the most stable polymorph in this dataset ... 64 meV/atom
Uncorrected formation energy ... -0.22 eV/atom
Magnetization ... 0.00 Bohr magnetons per cell

```
6
Lattice="5.8927 0.0000 0.0000 -0.8917 6.2444 0.0000 -0.0760 -3.1714 5.5716" Properties=species:S:1:pos:R:3 pbc="T T T"
Hg 0.0000 0.0000 0.0000
Hg 2.8295 -1.3729 2.6226
Se 2.2898 0.7643 0.7493
Se 2.6476 2.0616 5.2366
Br 0.1835 3.0732 2.2913
Br 4.7094 -0.3221 3.9707
```

---

A plane-wave DFT calculation with PBE-GGA was carried out for a relaxed LaPm2Ho9 crystal.

Values from the calculation:
ΔH_f (0 K) ... 0.122 eV per atom
VASP energy ... -4.514 eV per atom
Energy above the most stable polymorph in this dataset ... 70 meV/atom
DOS(E_F) ... 23.6 states/eV/f.u.
Magnetization ... 0.00 Bohr magnetons per cell

```
12
Lattice="5.8859 0.0000 0.0000 0.0000 5.8859 0.0000 0.0000 0.0000 11.1668" Properties=species:S:1:pos:R:3 pbc="T T T"
La 0.0000 0.0000 0.0000
Pm 0.0000 0.0000 3.7412
Pm 0.0000 0.0000 7.4257
Ho 0.0000 2.9430 1.8992
Ho 0.0000 2.9430 5.5834
Ho 0.0000 2.9430 9.2676
Ho 2.9430 0.0000 1.8992
Ho 2.9430 0.0000 5.5834
Ho 2.9430 0.0000 9.2676
Ho 2.9430 2.9430 0.0000
Ho 2.9430 2.9430 3.7250
Ho 2.9430 2.9430 7.4418
```

---

A plane-wave DFT calculation with PBE-GGA was carried out for a relaxed MnSnPS crystal.

Values from the calculation:
VASP energy ... -5.724 eV per atom
Energy above the most stable polymorph in this dataset ... 211 meV/atom
Uncorrected formation energy ... -0.05 eV/atom
DOS(E_F) ... 2.0 states/eV/f.u.
Magnetization ... 0.00 Bohr magnetons per cell

```
4
Lattice="8.4302 -1.4947 0.0000 8.4302 1.4947 0.0000 -0.4857 0.0000 2.8422" Properties=species:S:1:pos:R:3 pbc="T T T"
Mn 0.0000 0.0000 0.0000
Sn 4.0942 0.0000 0.7241
P 14.8878 0.0000 1.1256
S 9.2306 0.0000 1.5992
```

---

A plane-wave DFT calculation with PBE-GGA was carried out for a relaxed CaCo4As2 crystal.

Values from the calculation:
ΔH_f (0 K) ... -0.380 eV per atom
VASP energy ... -6.055 eV per atom
DOS(E_F) ... 6.8 states/eV/f.u.
Magnetization ... 2.58 Bohr magnetons per cell

```
14
Lattice="7.2966 0.0000 0.0000 0.0000 7.2966 0.0000 0.0000 0.0000 3.6612" Properties=species:S:1:pos:R:3 pbc="T T T"
Ca 0.0000 0.0000 0.0000
Ca 3.6483 3.6483 1.8306
Co 0.5724 2.5507 1.8306
Co 1.0976 4.2207 0.0000
Co 2.5507 0.5724 1.8306
Co 3.0759 6.1989 0.0000
Co 4.2207 1.0976 0.0000
Co 4.7459 6.7241 1.8306
Co 6.1989 3.0759 0.0000
Co 6.7241 4.7459 1.8306
As 1.6395 5.6570 1.8306
As 2.0087 2.0087 0.0000
As 5.2878 5.2878 0.0000
As 5.6570 1.6395 1.8306
```

---

A plane-wave DFT calculation with PBE-GGA was carried out for a relaxed Ac2In4Cu3Pb crystal.

Values from the calculation:
ΔH_f (0 K) ... -0.255 eV per atom
VASP energy ... -3.772 eV per atom
DOS(E_F) ... 4.4 states/eV/f.u.
Magnetization ... 0.00 Bohr magnetons per cell

```
10
Lattice="4.6451 0.0000 0.0000 0.0000 4.6451 0.0000 0.0000 0.0000 11.5630" Properties=species:S:1:pos:R:3 pbc="T T T"
Ac 0.0000 2.3226 2.7685
Ac 2.3226 0.0000 8.7945
In 0.0000 0.0000 0.0000
In 0.0000 2.3226 7.5574
In 2.3226 0.0000 4.0056
In 2.3226 2.3226 0.0000
Cu 0.0000 2.3226 10.1387
Cu 2.3226 0.0000 1.4243
Cu 2.3226 2.3226 5.7815
Pb 0.0000 0.0000 5.7815
```

---

A plane-wave DFT calculation with PBE-GGA was carried out for a relaxed BeTlAgTe2 crystal.

Values from the calculation:
VASP energy ... -3.131 eV per atom
Uncorrected formation energy ... -0.09 eV/atom
Magnetization ... 0.00 Bohr magnetons per cell

```
10
Lattice="7.7663 0.0000 0.0000 0.0000 5.3691 0.0000 -1.4195 0.0000 7.4938" Properties=species:S:1:pos:R:3 pbc="T T T"
Be 0.0000 0.0000 0.0000
Be -0.7098 0.0000 3.7469
Tl 3.5282 1.1100 1.8735
Tl 2.8185 4.2591 5.6204
Ag -0.3549 2.1425 1.8735
Ag -1.0647 3.2266 5.6204
Te 0.9627 1.4203 4.2744
Te 1.6725 3.9488 0.5275
Te 4.6742 1.4203 6.9664
Te 5.3840 3.9488 3.2194
```

---

A plane-wave DFT calculation with PBE-GGA was carried out for a relaxed Nd2Dy6Er3Pb crystal.

Values from the calculation:
ΔH_f (0 K) ... -0.065 eV per atom
VASP energy ... -4.610 eV per atom
DOS(E_F) ... 13.6 states/eV/f.u.
Magnetization ... 0.00 Bohr magnetons per cell

```
12
Lattice="3.0467 -5.2790 0.0000 3.0467 5.2790 0.0000 -2.0362 0.0000 11.5772" Properties=species:S:1:pos:R:3 pbc="T T T"
Nd 3.0467 3.5245 0.0000
Nd 3.0467 -3.5245 0.0000
Dy 0.0182 1.7271 8.6588
Dy 1.0499 0.0000 2.9303
Dy 0.0182 -1.7271 8.6588
Dy 4.0390 1.7271 2.9184
Dy 3.0073 0.0000 8.6469
Dy 4.0390 -1.7271 2.9184
Er -1.0181 0.0000 5.7886
Er 2.0286 1.7670 5.7886
Er 2.0286 -1.7670 5.7886
Pb 3.0467 0.0000 0.0000
```

---

A plane-wave DFT calculation with PBE-GGA was carried out for a relaxed Ac4CuSiBr2 crystal.

Values from the calculation:
VASP energy ... -4.502 eV per atom
Uncorrected formation energy ... -0.84 eV/atom
DOS(E_F) ... 6.2 states/eV/f.u.
Magnetization ... 0.00 Bohr magnetons per cell

```
8
Lattice="7.9968 0.0000 0.0000 0.0000 4.4412 0.0000 -2.4752 0.0000 7.6544" Properties=species:S:1:pos:R:3 pbc="T T T"
Ac 1.1149 0.0000 1.7692
Ac -0.0581 2.2206 5.6422
Ac 5.5797 2.2206 2.0122
Ac 4.4066 0.0000 5.8852
Cu 0.0000 2.2206 0.0000
Si -1.2376 0.0000 3.8272
Br 3.9984 0.0000 0.0000
Br 2.7608 2.2206 3.8272
```

---

A plane-wave DFT calculation with PBE-GGA was carried out for a relaxed YCoSn crystal.

Values from the calculation:
ΔH_f (0 K) ... -0.496 eV per atom
VASP energy ... -6.354 eV per atom
DOS(E_F) ... 2.8 states/eV/f.u.
Magnetization ... 0.00 Bohr magnetons per cell

```
12
Lattice="7.0572 0.0000 0.0000 0.0000 4.4511 0.0000 0.0000 0.0000 7.7048" Properties=species:S:1:pos:R:3 pbc="T T T"
Y 0.1258 1.1128 1.4876
Y 3.4029 3.3384 5.3400
Y 3.6544 1.1128 2.3648
Y 6.9315 3.3384 6.2172
Co 1.4988 3.3384 3.1228
Co 2.0298 1.1128 6.9752
Co 5.0274 3.3384 0.7296
Co 5.5584 1.1128 4.5820
Sn 1.2530 1.1128 4.4687
Sn 2.2756 3.3384 0.6162
Sn 4.7816 1.1128 7.0886
Sn 5.8042 3.3384 3.2362
```

---

A plane-wave DFT calculation with PBE-GGA was carried out for a relaxed CeHoMgAl crystal.

Values from the calculation:
ΔH_f (0 K) ... -0.189 eV per atom
VASP energy ... -4.151 eV per atom
DOS(E_F) ... 6.7 states/eV/f.u.
Magnetization ... 0.57 Bohr magnetons per cell

```
4
Lattice="0.0000 3.6921 3.6921 3.6921 0.0000 3.6921 3.6921 3.6921 0.0000" Properties=species:S:1:pos:R:3 pbc="T T T"
Ce 0.0000 0.0000 0.0000
Ho 3.6921 3.6921 3.6921
Mg 1.8460 1.8460 1.8460
Al 5.5381 5.5381 5.5381
```

---

A plane-wave DFT calculation with PBE-GGA was carried out for a relaxed Pm2MgSi2 crystal.

Values from the calculation:
VASP energy ... -5.085 eV per atom
Energy above the most stable polymorph in this dataset ... 0 meV/atom
Uncorrected formation energy ... -0.70 eV/atom
DOS(E_F) ... 1.4 states/eV/f.u.
Magnetization ... 0.00 Bohr magnetons per cell

```
10
Lattice="7.3371 0.0000 0.0000 0.0000 7.3371 0.0000 0.0000 0.0000 4.3337" Properties=species:S:1:pos:R:3 pbc="T T T"
Pm 1.3173 2.3512 0.0000
Pm 2.3512 6.0198 0.0000
Pm 4.9859 1.3173 0.0000
Pm 6.0198 4.9859 0.0000
Mg 0.0000 0.0000 2.1669
Mg 3.6685 3.6685 2.1669
Si 0.8501 4.5186 2.1669
Si 2.8185 0.8501 2.1669
Si 4.5186 6.4870 2.1669
Si 6.4870 2.8185 2.1669
```

---

A plane-wave DFT calculation with PBE-GGA was carried out for a relaxed NdSm3Dy3 crystal.

Values from the calculation:
ΔH_f (0 K) ... 0.021 eV per atom
VASP energy ... -4.655 eV per atom
Energy above the most stable polymorph in this dataset ... 0 meV/atom
DOS(E_F) ... 12.3 states/eV/f.u.
Magnetization ... 0.00 Bohr magnetons per cell

```
14
Lattice="9.6552 0.0000 0.0000 -4.8276 8.3617 0.0000 0.0000 0.0000 5.7711" Properties=species:S:1:pos:R:3 pbc="T T T"
Nd 0.0000 5.5744 1.4428
Nd 4.8276 2.7872 4.3283
Sm -1.3714 3.9758 4.3283
Sm -0.6988 7.5614 4.3283
Sm 2.7574 3.1755 1.4428
Sm 2.0702 5.1861 4.3283
Sm 5.5264 0.8002 1.4428
Sm 6.1990 4.3859 1.4428
Dy -0.6762 1.9611 1.4428
Dy -2.7912 7.9667 1.4428
Dy 1.3603 1.5661 4.3283
Dy 3.4674 6.7956 1.4428
Dy 7.6188 0.3950 4.3283
Dy 5.5038 6.4006 4.3283
```

---

A plane-wave DFT calculation with PBE-GGA was carried out for a relaxed CaTbTh2N4 crystal.

Values from the calculation:
VASP energy ... -8.346 eV per atom
Uncorrected formation energy ... -1.50 eV/atom
DOS(E_F) ... 2.1 states/eV/f.u.
Magnetization ... 0.00 Bohr magnetons per cell

```
8
Lattice="6.1749 0.0000 0.0000 0.0000 3.6300 0.0000 -2.1166 0.0000 5.9139" Properties=species:S:1:pos:R:3 pbc="T T T"
Ca 0.0000 0.0000 0.0000
Tb -1.0583 1.8150 2.9569
Th 2.0291 0.0000 2.9569
Th 3.0875 1.8150 0.0000
N -0.0058 0.0000 4.4166
N 1.0920 1.8150 1.5458
N 2.9663 1.8150 4.3680
N 4.0641 0.0000 1.4972
```

---

A plane-wave DFT calculation with PBE-GGA was carried out for a relaxed NpPaCN crystal.

Values from the calculation:
VASP energy ... -10.747 eV per atom
Uncorrected formation energy ... -0.75 eV/atom
DOS(E_F) ... 7.9 states/eV/f.u.
Magnetization ... 3.04 Bohr magnetons per cell

```
4
Lattice="1.7651 1.0191 5.7246 -1.7651 1.0191 5.7246 0.0000 -2.0382 5.7246" Properties=species:S:1:pos:R:3 pbc="T T T"
Np 0.0000 0.0000 0.0000
Pa 0.0000 0.0000 8.6304
C 0.0000 0.0000 12.8916
N 0.0000 0.0000 4.3168
```

---

A plane-wave DFT calculation with PBE-GGA was carried out for a relaxed Na2TbGeTe4 crystal.

Values from the calculation:
VASP energy ... -3.858 eV per atom
Uncorrected formation energy ... -0.80 eV/atom
DOS(E_F) ... 3.6 states/eV/f.u.
Magnetization ... 0.00 Bohr magnetons per cell

```
8
Lattice="7.7166 0.0000 0.0000 0.0000 4.1896 0.0000 -2.3550 0.0000 7.6364" Properties=species:S:1:pos:R:3 pbc="T T T"
Na 0.0000 0.0000 0.0000
Na 3.8583 2.0948 0.0000
Tb -1.1775 2.0948 3.8182
Ge 2.6808 0.0000 3.8182
Te 0.2202 0.0000 5.5713
Te 1.4247 2.0948 2.1310
Te 3.9370 2.0948 5.5054
Te 5.1415 0.0000 2.0651
```

---

A plane-wave DFT calculation with PBE-GGA was carried out for a relaxed BaIrBr2 crystal.

Values from the calculation:
VASP energy ... -3.715 eV per atom
Energy above the most stable polymorph in this dataset ... 449 meV/atom
Uncorrected formation energy ... -0.18 eV/atom
DOS(E_F) ... 2.6 states/eV/f.u.
Magnetization ... 1.51 Bohr magnetons per cell

```
4
Lattice="5.0425 0.0000 0.0000 0.0000 5.0425 0.0000 0.0000 0.0000 4.1593" Properties=species:S:1:pos:R:3 pbc="T T T"
Ba 0.0000 0.0000 0.0000
Ir 2.5212 2.5212 0.0000
Br 0.0000 2.5212 2.0796
Br 2.5212 0.0000 2.0796
```

---

A plane-wave DFT calculation with PBE-GGA was carried out for a relaxed V2MoPtN crystal.

Values from the calculation:
VASP energy ... -9.284 eV per atom
Uncorrected formation energy ... -0.60 eV/atom
DOS(E_F) ... 6.1 states/eV/f.u.
Magnetization ... 0.00 Bohr magnetons per cell

```
5
Lattice="3.9668 0.0000 0.0000 0.0000 3.9668 0.0000 0.0000 0.0000 4.0725" Properties=species:S:1:pos:R:3 pbc="T T T"
V 0.0000 1.9834 0.0000
V 1.9834 0.0000 0.0000
Mo 0.0000 0.0000 2.0363
Pt 1.9834 1.9834 2.0363
N 0.0000 0.0000 0.0000
```